Entry 1:
# La2Ho2Hg (GGA-PBE, optimized geometry)
data_La2Ho2Hg
_chemical_formula_sum 'La8 Ho8 Hg4'
_cell_length_a 5.159
_cell_length_b 5.159
_cell_length_c 25.748
_cell_angle_alpha 90.00
_cell_angle_beta 90.00
_cell_angle_gamma 90.00
_symmetry_space_group_name_H-M 'I 41/a m d'
_symmetry_Int_Tables_number 141
loop_
_symmetry_equiv_pos_as_xyz
'x,y,z'
'-x,-y,-z'
'-y+1/4,x+3/4,z+1/4'
'y+1/4,-x+3/4,-z+1/4'
'-x+1/2,-y,z+1/2'
'x+1/2,y,-z+1/2'
'y+1/4,-x+1/4,z+3/4'
'-y+1/4,x+1/4,-z+3/4'
'x,-y,-z'
'-x,y,z'
'-y+1/4,-x+1/4,-z+3/4'
'y+1/4,x+1/4,z+3/4'
'-x+1/2,y,-z+1/2'
'x+1/2,-y,z+1/2'
'y+1/4,x+3/4,-z+1/4'
'-y+1/4,-x+3/4,z+1/4'
'x+1/2,y+1/2,z+1/2'
'-x+1/2,-y+1/2,-z+1/2'
'-y+3/4,x+1/4,z+3/4'
'y+3/4,-x+1/4,-z+3/4'
'-x,-y+1/2,z'
'x,y+1/2,-z'
'y+3/4,-x+3/4,z+1/4'
'-y+3/4,x+3/4,-z+1/4'
'x+1/2,-y+1/2,-z+1/2'
'-x+1/2,y+1/2,z+1/2'
'-y+3/4,-x+3/4,-z+1/4'
'y+3/4,x+3/4,z+1/4'
'-x,y+1/2,-z'
'x,-y+1/2,z'
'y+3/4,x+1/4,-z+3/4'
'-y+3/4,-x+1/4,z+3/4'
loop_
_atom_site_label
_atom_site_type_symbol
_atom_site_fract_x
_atom_site_fract_y
_atom_site_fract_z
La1 La 0.000 0.250 0.050
Ho1 Ho 0.000 0.250 0.200
Hg1 Hg 0.000 0.250 0.375
# calculated density = 7.8 Mg/m³
# D(E_F) = 39.85 states/eV per cell
# energy of formation from the pure elements = -0.0229 eV/atom

=====

Entry 2:
# Na3CeCl8 (GGA-PBE, optimized geometry)
data_Na3CeCl8
_chemical_formula_sum 'Na3 Ce1 Cl8'
_cell_length_a 6.759
_cell_length_b 6.759
_cell_length_c 6.759
_cell_angle_alpha 90.00
_cell_angle_beta 90.00
_cell_angle_gamma 90.00
_symmetry_space_group_name_H-M 'P m -3 m'
_symmetry_Int_Tables_number 221
_symmetry_space_group_name_Hall '-P 4 2 3'
loop_
_atom_site_label
_atom_site_type_symbol
_atom_site_fract_x
_atom_site_fract_y
_atom_site_fract_z
Na1 Na 0.000 0.000 0.500
Ce1 Ce 0.500 0.500 0.500
Cl1 Cl 0.261 0.261 0.261
# calculated density = 2.6 Mg/m³
# D(E_F) = 9.82 states/eV per cell
# formation energy from raw total energies = -1863.0 kJ/mol of formula units

=====

Entry 3:
# LiCoIr2 (GGA-PBE, optimized geometry)
data_LiCoIr2
_chemical_formula_sum 'Li2 Co2 Ir4'
_cell_length_a 8.960
_cell_length_b 2.676
_cell_length_c 4.431
_cell_angle_alpha 90.00
_cell_angle_beta 100.33
_cell_angle_gamma 90.00
_symmetry_space_group_name_H-M 'C 1 m 1'
_symmetry_Int_Tables_number 8
_symmetry_space_group_name_Hall 'C -2y'
loop_
_atom_site_label
_atom_site_type_symbol
_atom_site_fract_x
_atom_site_fract_y
_atom_site_fract_z
Li1 Li 0.000 0.000 0.000
Co1 Co 0.258 0.500 0.205
Ir1 Ir 0.239 0.000 0.702
Ir2 Ir 0.493 0.000 0.497
# calculated density = 14.3 Mg/m³
# D(E_F) = 9.42 states/eV per cell
# energy of formation from the pure elements = -0.0090 eV/atom
# polymorph energy (0 for the lowest one) = 25 meV per atom

=====

Entry 4:
# Tb2Dy2Tl7 (GGA-PBE, optimized geometry)
data_Tb2Dy2Tl7
_chemical_formula_sum 'Tb4 Dy4 Tl14'
_cell_length_a 11.437
_cell_length_b 9.842
_cell_length_c 5.906
_cell_angle_alpha 90.00
_cell_angle_beta 99.36
_cell_angle_gamma 90.00
_symmetry_space_group_name_H-M 'C 1 2/m 1'
_symmetry_Int_Tables_number 12
_symmetry_space_group_name_Hall '-C 2y'
loop_
_atom_site_label
_atom_site_type_symbol
_atom_site_fract_x
_atom_site_fract_y
_atom_site_fract_z
Tb1 Tb 0.000 0.188 0.000
Dy1 Dy 0.237 0.500 0.694
Tl1 Tl 0.000 0.000 0.500
Tl2 Tl 0.035 0.500 0.252
Tl3 Tl 0.231 0.176 0.756
# calculated density = 10.5 Mg/m³
# D(E_F) = 14.35 states/eV per cell
# energy of formation from the pure elements = -0.0844 eV/atom